Below is a geometry-optimized Sc4TiCu5 structure, with properties calculated at the PBE level.

Density of states at the Fermi level   0.684 states/eV/atom
ρ   5.412 g/cm3
Formation energy from the elements   -0.226 eV per atom
Total magnetic moment   1.088 Bohr magnetons per cell

a b c (Å): 3.211 3.211 16.235
angles (deg): 90.00 90.00 90.00
Space group P4/mmm (No. 123)
Unique sites:
1 Sc 0.000 0.000 0.102 (multiplicity 2)
2 Sc 0.000 0.000 0.307 (multiplicity 2)
3 Ti 0.000 0.000 0.500 (multiplicity 1)
4 Cu 0.500 0.500 0.000 (multiplicity 1)
5 Cu 0.500 0.500 0.204 (multiplicity 2)
6 Cu 0.500 0.500 0.412 (multiplicity 2)

---

Below is a geometry-optimized SmGaHg structure, with properties calculated at the PBE level.

Density of states at the Fermi level   0.517 states/eV/atom
Energy above the most stable polymorph in this dataset   0.0 kJ per mole of atoms
ρ   9.926 g/cm3
Formation energy from the elements   -0.519 eV per atom
Total magnetic moment   0.000 Bohr magnetons per cell

a b c (Å): 4.7060 4.7060 3.6692
angles (deg): 90.00 90.00 120.00
Space group P-6m2 (No. 187)
Unique sites:
1 Sm 0.0000 0.0000 0.0000 (multiplicity 1)
2 Ga 0.3333 0.6667 0.5000 (multiplicity 1)
3 Hg 0.6667 0.3333 0.5000 (multiplicity 1)

---

Below is a geometry-optimized K2Sb2Pt structure, with properties calculated at the PBE level.

Density of states at the Fermi level   0.810 states/eV/atom
ρ   5.335 g/cm3
Total magnetic moment   0.000 Bohr magnetons per cell
Uncorrected energy   -3.750 eV per atom

a b c (Å): 4.413 6.520 11.182
angles (deg): 90.00 90.00 90.00
Space group Immm (No. 71)
Unique sites:
1 K 0.000 0.000 0.206 (multiplicity 4)
2 Sb 0.000 0.235 0.500 (multiplicity 4)
3 Pt 0.000 0.500 0.000 (multiplicity 2)

---

Below is a geometry-optimized Tm2Tl3ZnSe6 structure, with properties calculated at the PBE level.

Density of states at the Fermi level   0.447 states/eV/atom
ρ   7.570 g/cm3
Total magnetic moment   0.000 Bohr magnetons per cell
Uncorrected energy   -4.172 eV per atom

a b c (Å): 7.107 12.300 7.852
angles (deg): 90.00 107.75 90.00
Space group C2/m (No. 12)
Unique sites:
1 Tm 0.000 0.166 0.000 (multiplicity 4)
2 Tl 0.000 0.000 0.500 (multiplicity 2)
3 Tl 0.000 0.328 0.500 (multiplicity 4)
4 Zn 0.000 0.500 0.000 (multiplicity 2)
5 Se 0.228 0.339 0.200 (multiplicity 8)
6 Se 0.244 0.000 0.206 (multiplicity 4)

---

Below is a geometry-optimized LaSmHo4S8 structure, with properties calculated at the PBE level.

Density of states at the Fermi level   0.621 states/eV/atom
ρ   5.275 g/cm3
Total magnetic moment   0.001 Bohr magnetons per cell
Uncorrected energy   -6.297 eV per atom

a b c (Å): 8.1023 8.1023 20.0244
angles (deg): 90.00 90.00 120.00
Space group R3m (No. 160, hexagonal axes)
Unique sites:
1 La 0.0000 0.0000 0.0000 (multiplicity 3)
2 Sm 0.0000 0.0000 0.3751 (multiplicity 3)
3 Ho 0.0000 0.0000 0.7483 (multiplicity 3)
4 Ho 0.1679 0.3358 0.2069 (multiplicity 9)
5 S 0.0000 0.0000 0.1375 (multiplicity 3)
6 S 0.0000 0.0000 0.6165 (multiplicity 3)
7 S 0.0125 0.5062 0.1288 (multiplicity 9)
8 S 0.1813 0.3626 0.9507 (multiplicity 9)

---

Below is a geometry-optimized Sm3Zr structure, with properties calculated at the PBE level.

Density of states at the Fermi level   1.135 states/eV/atom
Energy above the most stable polymorph in this dataset   0.0 kJ per mole of atoms
ρ   7.429 g/cm3
Formation energy from the elements   0.125 eV per atom
Total magnetic moment   0.000 Bohr magnetons per cell

a b c (Å): 4.967 4.967 9.827
angles (deg): 90.00 90.00 90.00
Space group I4/mmm (No. 139)
Unique sites:
1 Sm 0.000 0.000 0.000 (multiplicity 2)
2 Sm 0.000 0.500 0.250 (multiplicity 4)
3 Zr 0.000 0.000 0.500 (multiplicity 2)

---

Below is a geometry-optimized CoBRh2I structure, with properties calculated at the PBE level.

Density of states at the Fermi level   1.021 states/eV/atom
ρ   6.641 g/cm3
Total magnetic moment   2.887 Bohr magnetons per cell
Uncorrected energy   -4.219 eV per atom

a b c (Å): 4.586 4.586 4.785
angles (deg): 90.00 90.00 90.00
Space group P4/mmm (No. 123)
Unique sites:
1 Co 0.000 0.000 0.000 (multiplicity 1)
2 B 0.500 0.500 0.500 (multiplicity 1)
3 Rh 0.000 0.500 0.000 (multiplicity 2)
4 I 0.000 0.000 0.500 (multiplicity 1)

---

Below is a geometry-optimized Ac2CdIn2Pt5 structure, with properties calculated at the PBE level.

Density of states at the Fermi level   0.442 states/eV/atom
ρ   13.275 g/cm3
Formation energy from the elements   -0.556 eV per atom
Total magnetic moment   0.000 Bohr magnetons per cell

a b c (Å): 10.951 10.951 3.695
angles (deg): 90.00 90.00 90.00
Space group P4/mbm (No. 127)
Unique sites:
1 Ac 0.173 0.327 0.000 (multiplicity 4)
2 Cd 0.000 0.000 0.000 (multiplicity 2)
3 In 0.128 0.628 0.000 (multiplicity 4)
4 Pt 0.000 0.500 0.500 (multiplicity 2)
5 Pt 0.060 0.809 0.500 (multiplicity 8)

---

Below is a geometry-optimized YTlMo2 structure, with properties calculated at the PBE level.

Density of states at the Fermi level   0.813 states/eV/atom
Energy above the most stable polymorph in this dataset   51.9 kJ per mole of atoms
ρ   9.972 g/cm3
Formation energy from the elements   0.686 eV per atom
Total magnetic moment   0.000 Bohr magnetons per cell

a b c (Å): 5.968 9.268 2.921
angles (deg): 90.00 90.00 90.00
Space group Cmmm (No. 65)
Unique sites:
1 Y 0.000 0.000 0.000 (multiplicity 2)
2 Tl 0.000 0.500 0.000 (multiplicity 2)
3 Mo 0.250 0.250 0.500 (multiplicity 4)

---

Below is a geometry-optimized EuI3 structure, with properties calculated at the PBE level.

Density of states at the Fermi level   3.571 states/eV/atom
ρ   5.109 g/cm3
Total magnetic moment   12.513 Bohr magnetons per cell
Uncorrected energy   -4.858 eV per atom

a b c (Å): 4.321 10.404 7.701
angles (deg): 90.00 90.00 90.00
Space group Imm2 (No. 44)
Unique sites:
1 Eu 0.000 0.000 0.000 (multiplicity 2)
2 I 0.000 0.319 0.694 (multiplicity 4)
3 I 0.000 0.500 0.196 (multiplicity 2)

---

Below is a geometry-optimized SrCa2Nd structure, with properties calculated at the PBE level.

Density of states at the Fermi level   1.345 states/eV/atom
Energy above the most stable polymorph in this dataset   0.0 kJ per mole of atoms
ρ   3.063 g/cm3
Formation energy from the elements   0.071 eV per atom
Total magnetic moment   0.000 Bohr magnetons per cell

a b c (Å): 4.077 4.077 10.179
angles (deg): 90.00 90.00 90.00
Space group P4/mmm (No. 123)
Unique sites:
1 Sr 0.000 0.000 0.000 (multiplicity 1)
2 Ca 0.500 0.500 0.274 (multiplicity 2)
3 Nd 0.000 0.000 0.500 (multiplicity 1)

---

Below is a geometry-optimized Hf2TiAl2Ir5 structure, with properties calculated at the PBE level.

Density of states at the Fermi level   0.228 states/eV/atom
ρ   14.791 g/cm3
Formation energy from the elements   -0.839 eV per atom
Total magnetic moment   0.000 Bohr magnetons per cell

a b c (Å): 9.397 9.397 3.611
angles (deg): 90.00 90.00 90.00
Space group P4/mbm (No. 127)
Unique sites:
1 Hf 0.174 0.326 0.000 (multiplicity 4)
2 Ti 0.000 0.000 0.000 (multiplicity 2)
3 Al 0.124 0.624 0.000 (multiplicity 4)
4 Ir 0.000 0.500 0.500 (multiplicity 2)
5 Ir 0.070 0.796 0.500 (multiplicity 8)

---

Below is a geometry-optimized PmDyEr2S6 structure, with properties calculated at the PBE level.

Density of states at the Fermi level   0.000 states/eV/atom
ρ   5.397 g/cm3
Total magnetic moment   0.000 Bohr magnetons per cell
Uncorrected energy   -6.377 eV per atom

a b c (Å): 6.9356 6.9356 18.4889
angles (deg): 90.00 90.00 120.00
Space group R3 (No. 146, hexagonal axes)
Unique sites:
1 Pm 0.0000 0.0000 0.0000 (multiplicity 3)
2 Dy 0.0000 0.0000 0.4959 (multiplicity 3)
3 Er 0.0000 0.0000 0.2943 (multiplicity 3)
4 Er 0.0000 0.0000 0.7967 (multiplicity 3)
5 S 0.0070 0.3067 0.8933 (multiplicity 9)
6 S 0.0188 0.7134 0.3938 (multiplicity 9)

---

Below is a geometry-optimized LiCoAu2 structure, with properties calculated at the PBE level.

Density of states at the Fermi level   1.002 states/eV/atom
ρ   12.604 g/cm3
Formation energy from the elements   -0.092 eV per atom
Total magnetic moment   3.341 Bohr magnetons per cell

a b c (Å): 9.437 2.747 4.718
angles (deg): 90.00 97.88 90.00
Space group Cm (No. 8)
Unique sites:
1 Li 0.000 0.000 0.000 (multiplicity 2)
2 Co 0.257 0.500 0.320 (multiplicity 2)
3 Au 0.253 0.000 0.825 (multiplicity 2)
4 Au 0.498 0.000 0.483 (multiplicity 2)

---

Below is a geometry-optimized TbTm3Tl3 structure, with properties calculated at the PBE level.

Density of states at the Fermi level   1.354 states/eV/atom
Energy above the most stable polymorph in this dataset   0.0 kJ per mole of atoms
ρ   10.689 g/cm3
Formation energy from the elements   -0.222 eV per atom
Total magnetic moment   0.000 Bohr magnetons per cell

a b c (Å): 9.263 9.263 9.263
angles (deg): 90.00 90.00 90.00
Space group P2_13 (No. 198)
Unique sites:
1 Tb 0.070 0.430 0.570 (multiplicity 4)
2 Tm 0.081 0.581 0.919 (multiplicity 4)
3 Tm 0.177 0.177 0.177 (multiplicity 4)
4 Tm 0.179 0.821 0.321 (multiplicity 4)
5 Tl 0.001 0.258 0.880 (multiplicity 12)

---

Below is a geometry-optimized TaBeCrRu structure, with properties calculated at the PBE level.

Density of states at the Fermi level   0.154 states/eV/atom
ρ   10.388 g/cm3
Formation energy from the elements   -0.134 eV per atom
Total magnetic moment   11.681 Bohr magnetons per cell

a b c (Å): 6.031 6.031 6.031
angles (deg): 90.00 90.00 90.00
Space group F-43m (No. 216)
Unique sites:
1 Ta 0.000 0.000 0.000 (multiplicity 4)
2 Be 0.000 0.000 0.500 (multiplicity 4)
3 Cr 0.250 0.250 0.250 (multiplicity 4)
4 Ru 0.250 0.250 0.750 (multiplicity 4)

---

Below is a geometry-optimized TaFeMo2 structure, with properties calculated at the PBE level.

Density of states at the Fermi level   0.638 states/eV/atom
Energy above the most stable polymorph in this dataset   5.3 kJ per mole of atoms
ρ   11.560 g/cm3
Formation energy from the elements   0.025 eV per atom
Total magnetic moment   3.937 Bohr magnetons per cell

a b c (Å): 3.204 4.400 8.736
angles (deg): 90.00 90.00 90.00
Space group Cmmm (No. 65)
Unique sites:
1 Ta 0.000 0.000 0.000 (multiplicity 2)
2 Fe 0.000 0.000 0.500 (multiplicity 2)
3 Mo 0.000 0.500 0.268 (multiplicity 4)

---

Below is a geometry-optimized Sr3TlCu structure, with properties calculated at the PBE level.

Density of states at the Fermi level   1.199 states/eV/atom
Energy above the most stable polymorph in this dataset   0.0 kJ per mole of atoms
ρ   4.304 g/cm3
Formation energy from the elements   -0.022 eV per atom
Total magnetic moment   0.000 Bohr magnetons per cell

a b c (Å): 5.894 5.894 5.894
angles (deg): 90.00 90.00 90.00
Space group Pm-3m (No. 221)
Unique sites:
1 Sr 0.000 0.000 0.500 (multiplicity 3)
2 Tl 0.500 0.500 0.500 (multiplicity 1)
3 Cu 0.000 0.000 0.000 (multiplicity 1)

---

Below is a geometry-optimized Y3Ho4In structure, with properties calculated at the PBE level.

Density of states at the Fermi level   1.478 states/eV/atom
ρ   6.677 g/cm3
Formation energy from the elements   0.074 eV per atom
Total magnetic moment   0.000 Bohr magnetons per cell

a b c (Å): 27.709 3.613 5.174
angles (deg): 90.00 91.07 90.00
Space group C2/m (No. 12)
Unique sites:
1 Y 0.000 0.000 0.000 (multiplicity 2)
2 Y 0.155 0.000 0.739 (multiplicity 4)
3 Ho 0.098 0.500 0.230 (multiplicity 4)
4 Ho 0.218 0.500 0.247 (multiplicity 4)
5 In 0.000 0.500 0.500 (multiplicity 2)

---

Below is a geometry-optimized Nd5MgTe8 structure, with properties calculated at the PBE level.

Density of states at the Fermi level   0.445 states/eV/atom
ρ   6.777 g/cm3
Total magnetic moment   0.000 Bohr magnetons per cell
Uncorrected energy   -4.931 eV per atom

a b c (Å): 9.452 9.452 9.688
angles (deg): 90.00 90.00 90.00
Space group I-4 (No. 82)
Unique sites:
1 Nd 0.000 0.000 0.000 (multiplicity 2)
2 Nd 0.125 0.250 0.617 (multiplicity 8)
3 Mg 0.000 0.500 0.250 (multiplicity 2)
4 Te 0.066 0.189 0.293 (multiplicity 8)
5 Te 0.079 0.322 0.938 (multiplicity 8)